1.
6
Lattice="1.916 1.106 11.620 -1.916 1.106 11.620 0.000 -2.213 11.620" Properties=species:S:1:pos:R:3 comment="NaPuAs GGA-PBE optimized geometry" delta_e_f_mev_per_atom=-225 pbc="T T T"
Na 0.000 0.000 4.218
Na 0.000 0.000 30.642
Pu 0.000 0.000 12.122
Pu 0.000 0.000 22.737
As 0.000 0.000 9.310
As 0.000 0.000 25.550

2.
4
Lattice="3.844 0.000 0.000 0.000 3.844 0.000 0.000 0.000 6.718" Properties=species:S:1:pos:R:3 comment="NaPuAs2 GGA-PBE optimized geometry" delta_e_f_mev_per_atom=-544 relative_energy_kj_per_mol_atoms=0.0 pbc="T T T"
Na 0.000 0.000 0.000
Pu 0.000 0.000 3.359
As 1.922 1.922 2.066
As 1.922 1.922 4.652